Entry 1:
Here is YNbSe2 after structural relaxation from Alexandria via LeMat-Bulk. Energies are from GGA-PBE.

a b c (Å): 4.7899 4.7899 4.7899
angles (deg): 60.00 60.00 60.00
Fractional positions:
Se1 0.2500 0.2500 0.2500
Se2 0.7500 0.7500 0.7500
Nb1 0.5000 0.5000 0.5000
Y1 0.0000 0.0000 0.0000

Results
- Raw formation energy: -0.972 eV per atom
- ΔE to the lowest computed polymorph: 0.0000 eV/atom
- Uncorrected energy: -6.8476 eV/atom

---

Entry 2:
Here is CsBP2Os after structural relaxation from Alexandria via LeMat-Bulk. Energies are from GGA-PBE.

a b c (Å): 4.1765 4.9147 4.1765
angles (deg): 90.00 90.00 90.00
Fractional positions:
P1 0.5000 0.0000 0.0000
P2 0.0000 0.0000 0.5000
Os1 0.5000 0.5000 0.5000
B1 0.0000 0.0000 0.0000
Cs1 0.0000 0.5000 0.0000

Results
- ΔE to the lowest computed polymorph: 1.1870 eV/atom
- Uncorrected energy: -4.0618 eV/atom
- Calculated formation energy: 1.854 eV/atom

---

Entry 3:
Here is La2Ag2Hg after structural relaxation from Alexandria via LeMat-Bulk. Energies are from GGA-PBE.

a b c (Å): 4.7947 6.1951 10.3603
angles (deg): 91.83 76.62 67.23
Fractional positions:
Ag1 0.9387 0.6944 0.4283
Ag2 0.0613 0.3056 0.5717
Ag3 0.3533 0.1783 0.1151
Ag4 0.6467 0.8217 0.8849
La1 0.3190 0.7092 0.6529
La2 0.0801 0.7364 0.1034
La3 0.9199 0.2636 0.8966
La4 0.6810 0.2908 0.3471
Hg1 0.3965 0.8770 0.3300
Hg2 0.6035 0.1230 0.6700

Results
- Uncorrected energy: -3.4841 eV/atom
- Calculated formation energy: -0.312 eV/atom

---

Entry 4:
Here is Tm3Tl3GaTe8 after structural relaxation from Alexandria via LeMat-Bulk. Energies are from GGA-PBE.

a b c (Å): 8.6495 8.6573 9.5914
angles (deg): 116.87 90.00 119.95
Fractional positions:
Te1 0.2269 0.4538 0.7026
Te2 0.2620 0.5241 0.2860
Te3 0.7480 0.9753 0.7029
Te4 0.7726 0.0246 0.2970
Te5 0.2520 0.0247 0.2971
Te6 0.7380 0.4759 0.7140
Te7 0.7731 0.5462 0.2974
Te8 0.2274 0.9754 0.7030
Tm1 0.5000 0.0000 0.5000
Tm2 0.0000 0.5000 0.5000
Tm3 0.5000 0.5000 0.5000
Tl1 0.5000 0.5000 0.0000
Tl2 0.0000 0.0000 0.0000
Tl3 0.0000 0.5000 0.0000
Ga1 0.0000 0.0000 0.5000

Results
- Raw formation energy: -0.787 eV per atom
- Uncorrected energy: -4.0319 eV/atom